Compound: Rb2Pu2MgSe6
Source: the Alexandria database
Functional: PBE
Structure: optimized geometry

Uncorrected formation energy = -1278 meV per atom
Total moment = 8.00 Bohr magnetons per cell
E_tot = -6.105 eV per atom
Space group = No. 12

Cell: 7.150 7.150 8.481 Å, 97.93 97.93 120.07°
Last column: magnetic moment on the atom in μB.
Sites, in units of the cell vectors:
Se (0.730, 0.730, 0.686)  0.16
Se (0.061, 0.395, 0.687)  0.16
Se (0.939, 0.605, 0.313)  0.16
Se (0.270, 0.270, 0.314)  0.16
Se (0.395, 0.061, 0.687)  0.16
Se (0.605, 0.939, 0.313)  0.16
Pu (0.334, 0.666, 0.500)  -4.68
Pu (0.666, 0.334, 0.500)  -4.68
Rb (0.165, 0.835, 0.000)  0.01
Rb (0.835, 0.165, 0.000)  0.01
Mg (0.000, 0.000, 0.500)  0.00

Compound: TlCdIn2Ni
Source: the Alexandria database
Functional: PBE
Structure: optimized geometry

Energy of formation from the pure elements = 0.05 eV/atom
Total moment = 0.00 Bohr magnetons per cell
E_tot = -2.857 eV per atom
Energy above the most stable polymorph in this dataset = 55.2 meV per atom
Space group = No. 123

Cell: 5.038 5.038 5.125 Å, 90.00 90.00 90.00°
Sites, in units of the cell vectors:
In (0.500, 0.000, 0.000)
In (0.000, 0.500, 0.000)
Ni (0.000, 0.000, 0.000)
Tl (0.000, 0.000, 0.500)
Cd (0.500, 0.500, 0.500)

Compound: Os3C5
Source: the Alexandria database
Functional: PBE
Structure: optimized geometry

Energy of formation from the pure elements = 1.27 eV/atom
Total moment = 0.00 Bohr magnetons per cell
E_tot = -8.708 eV per atom
Energy above the most stable polymorph in this dataset = 0.0 meV per atom
Space group = No. 8

Cell: 5.908 5.908 6.180 Å, 74.73 74.73 112.63°
Sites, in units of the cell vectors:
C (0.529, 0.342, 0.147)
C (0.916, 0.848, 0.251)
C (0.176, 0.814, 0.905)
C (0.080, 0.199, 0.720)
C (0.699, 0.580, 0.720)
C (0.842, 0.029, 0.147)
C (0.314, 0.676, 0.905)
C (0.325, 0.825, 0.430)
C (0.742, 0.242, 0.530)
C (0.348, 0.416, 0.251)
Os (0.125, 0.625, 0.277)
Os (0.359, 0.130, 0.535)
Os (0.826, 0.783, 0.911)
Os (0.630, 0.859, 0.535)
Os (0.806, 0.306, 0.833)
Os (0.283, 0.326, 0.911)

Compound: TaInBr
Source: the Alexandria database
Functional: PBE
Structure: optimized geometry

Uncorrected formation energy = 35 meV per atom
Total moment = 0.00 Bohr magnetons per cell
E_tot = -5.386 eV per atom
Energy above the most stable polymorph in this dataset = 0.0 meV per atom
Space group = No. 156

Cell: 3.190 3.190 8.362 Å, 90.00 90.00 120.00°
Sites, in units of the cell vectors:
Br (0.000, 0.000, 0.916)
Ta (0.667, 0.333, 0.690)
In (0.333, 0.667, 0.394)